No. 1
Crystalline RbPaAgS3 at its relaxed geometry. Source: OQMD via LeMat-Bulk, functional PBE-GGA.

a b c (Å): 7.6878 7.6878 10.5548
angles (deg): 90.00 90.00 148.82
Fractional positions:
Rb1 0.2402 0.7598 0.7500
Rb2 0.7598 0.2402 0.2500
Pa1 0.5000 0.5000 0.0000
Pa2 0.5000 0.5000 0.5000
Ag1 0.0460 0.9540 0.2500
Ag2 0.9540 0.0460 0.7500
S1 0.1207 0.8793 0.0376
S2 0.1207 0.8793 0.4624
S3 0.4413 0.5587 0.2500
S4 0.5587 0.4413 0.7500
S5 0.8793 0.1207 0.5376
S6 0.8793 0.1207 0.9624

raw total energy	-5.51	eV/atom
magnetization	2.0	Bohr magnetons per cell


No. 2
Crystalline NdHo2 at its relaxed geometry. Source: OQMD via LeMat-Bulk, functional PBE-GGA.

a b c (Å): 8.8960 8.8960 8.8960
angles (deg): 60.00 60.00 60.00
Fractional positions:
Nd1 0.1250 0.1250 0.1250
Nd2 0.8750 0.8750 0.8750
Ho1 0.0000 0.0000 0.0000
Ho2 0.0000 0.0000 0.5000
Ho3 0.0000 0.5000 0.0000
Ho4 0.5000 0.0000 0.0000

energy of formation from the pure elements	2569	meV/atom
raw total energy	-2.07	eV/atom
magnetization	0.1	Bohr magnetons per cell


Which value of magnetization does entry 1 give? 2.0 Bohr magnetons per cell


Look up the magnetization of the first one. 2.0 Bohr magnetons per cell


Look up the magnetization of the second one. 0.1 Bohr magnetons per cell